1.
# AcB2Rh2C | the Alexandria database | PBE | optimized geometry
# total magnetic moment	0.000	μB/f.u.
# energy relative to the elements	-512	meV per atom
# raw total energy	-44.46	eV per cell
# space-group type	I4/mmm
# volume	13.73	Å³/atom
data_AcB2Rh2C
_chemical_formula_sum 'Ac1 B2 Rh2 C1'
_space_group_name_H-M_alt 'P 1'
_space_group_IT_number 1
_cell_length_a 5.905
_cell_length_b 5.905
_cell_length_c 5.905
_cell_angle_alpha 140.57
_cell_angle_beta 140.57
_cell_angle_gamma 56.98
loop_
_space_group_symop_operation_xyz
'x,y,z'
loop_
_atom_site_label
_atom_site_fract_x
_atom_site_fract_y
_atom_site_fract_z
Ac1 0.000 0.000 0.000
B1 0.354 0.354 0.000
B2 0.646 0.646 0.000
Rh1 0.250 0.750 0.500
Rh2 0.750 0.250 0.500
C1 0.500 0.500 0.000

---

2.
# AcBRuC | the Alexandria database | PBE | optimized geometry
# total magnetic moment	0.000	μB/f.u.
# energy relative to the elements	-63	meV per atom
# raw total energy	-59.07	eV per cell
# space-group type	P4/nmm
# volume	15.82	Å³/atom
data_AcBRuC
_chemical_formula_sum 'Ac2 B2 Ru2 C2'
_space_group_name_H-M_alt 'P 1'
_space_group_IT_number 1
_cell_length_a 3.908
_cell_length_b 3.908
_cell_length_c 8.287
_cell_angle_alpha 90.00
_cell_angle_beta 90.00
_cell_angle_gamma 90.00
loop_
_space_group_symop_operation_xyz
'x,y,z'
loop_
_atom_site_label
_atom_site_fract_x
_atom_site_fract_y
_atom_site_fract_z
Ac1 0.250 0.250 0.177
Ac2 0.750 0.750 0.823
B1 0.250 0.250 0.650
B2 0.750 0.750 0.350
Ru1 0.250 0.750 0.500
Ru2 0.750 0.250 0.500
C1 0.250 0.250 0.834
C2 0.750 0.750 0.166

---

3.
# Ac2B2Ru2C | the Alexandria database | PBE | optimized geometry
# total magnetic moment	0.000	μB/f.u.
# energy relative to the elements	-265	meV per atom
# raw total energy	-51.20	eV per cell
# space-group type	C2/m
# volume	18.18	Å³/atom
data_Ac2B2Ru2C
_chemical_formula_sum 'Ac2 B2 Ru2 C1'
_space_group_name_H-M_alt 'P 1'
_space_group_IT_number 1
_cell_length_a 5.932
_cell_length_b 5.932
_cell_length_c 7.178
_cell_angle_alpha 123.20
_cell_angle_beta 123.20
_cell_angle_gamma 38.19
loop_
_space_group_symop_operation_xyz
'x,y,z'
loop_
_atom_site_label
_atom_site_fract_x
_atom_site_fract_y
_atom_site_fract_z
Ac1 0.064 0.064 0.322
Ac2 0.936 0.936 0.678
B1 0.290 0.290 0.207
B2 0.710 0.710 0.793
Ru1 0.302 0.302 0.914
Ru2 0.698 0.698 0.086
C1 0.500 0.500 0.000

---

4.
# Ac2SiBC | the Alexandria database | PBE | optimized geometry
# total magnetic moment	0.000	μB/f.u.
# formation energy without anion corrections	-1.408	eV per formula unit
# raw total energy	-61.90	eV per cell
# space-group type	P2_1/m
# volume	21.92	Å³/atom
data_Ac2SiBC
_chemical_formula_sum 'Ac4 Si2 B2 C2'
_space_group_name_H-M_alt 'P 1'
_space_group_IT_number 1
_cell_length_a 6.698
_cell_length_b 3.868
_cell_length_c 8.948
_cell_angle_alpha 90.00
_cell_angle_beta 109.02
_cell_angle_gamma 90.00
loop_
_space_group_symop_operation_xyz
'x,y,z'
loop_
_atom_site_label
_atom_site_fract_x
_atom_site_fract_y
_atom_site_fract_z
Ac1 0.219 0.250 0.402
Ac2 0.224 0.250 0.958
Ac3 0.776 0.750 0.042
Ac4 0.781 0.750 0.598
Si1 0.372 0.750 0.712
Si2 0.628 0.250 0.288
B1 0.436 0.750 0.240
B2 0.564 0.250 0.760
C1 0.197 0.750 0.175
C2 0.803 0.250 0.825

---

5.
# Ac2Tc2BC2 | the Alexandria database | PBE | optimized geometry
# total magnetic moment	0.000	μB/f.u.
# energy relative to the elements	4	meV per atom
# raw total energy	-54.05	eV per cell
# space-group type	C2/m
# volume	18.39	Å³/atom
data_Ac2Tc2BC2
_chemical_formula_sum 'Ac2 Tc2 B1 C2'
_space_group_name_H-M_alt 'P 1'
_space_group_IT_number 1
_cell_length_a 5.931
_cell_length_b 5.931
_cell_length_c 7.032
_cell_angle_alpha 121.73
_cell_angle_beta 121.73
_cell_angle_gamma 38.84
loop_
_space_group_symop_operation_xyz
'x,y,z'
loop_
_atom_site_label
_atom_site_fract_x
_atom_site_fract_y
_atom_site_fract_z
Ac1 0.074 0.074 0.326
Ac2 0.926 0.926 0.674
Tc1 0.294 0.294 0.914
Tc2 0.706 0.706 0.086
B1 0.500 0.500 0.000
C1 0.270 0.270 0.190
C2 0.730 0.730 0.810

---

6.
# Ac2Tc2B2C | the Alexandria database | PBE | optimized geometry
# total magnetic moment	0.000	μB/f.u.
# energy relative to the elements	-212	meV per atom
# raw total energy	-53.01	eV per cell
# space-group type	C2/m
# volume	18.44	Å³/atom
data_Ac2Tc2B2C
_chemical_formula_sum 'Ac2 Tc2 B2 C1'
_space_group_name_H-M_alt 'P 1'
_space_group_IT_number 1
_cell_length_a 5.926
_cell_length_b 5.926
_cell_length_c 7.226
_cell_angle_alpha 121.72
_cell_angle_beta 121.72
_cell_angle_gamma 37.71
loop_
_space_group_symop_operation_xyz
'x,y,z'
loop_
_atom_site_label
_atom_site_fract_x
_atom_site_fract_y
_atom_site_fract_z
Ac1 0.069 0.069 0.328
Ac2 0.931 0.931 0.672
Tc1 0.302 0.302 0.916
Tc2 0.698 0.698 0.084
B1 0.297 0.297 0.215
B2 0.703 0.703 0.785
C1 0.500 0.500 0.000

---

7.
# CaAcBO4 | the Alexandria database | PBE | optimized geometry
# total magnetic moment	0.000	μB/f.u.
# formation energy without anion corrections	-20.716	eV per formula unit
# raw total energy	-106.67	eV per cell
# space-group type	Cmcm
# volume	12.90	Å³/atom
data_CaAcBO4
_chemical_formula_sum 'Ca2 Ac2 B2 O8'
_space_group_name_H-M_alt 'P 1'
_space_group_IT_number 1
_cell_length_a 5.349
_cell_length_b 5.349
_cell_length_c 7.226
_cell_angle_alpha 90.00
_cell_angle_beta 90.00
_cell_angle_gamma 119.16
loop_
_space_group_symop_operation_xyz
'x,y,z'
loop_
_atom_site_label
_atom_site_fract_x
_atom_site_fract_y
_atom_site_fract_z
Ca1 0.000 0.000 0.000
Ca2 0.000 0.000 0.500
Ac1 0.316 0.684 0.750
Ac2 0.684 0.316 0.250
B1 0.338 0.662 0.250
B2 0.662 0.338 0.750
O1 0.209 0.337 0.250
O2 0.240 0.760 0.086
O3 0.240 0.760 0.414
O4 0.337 0.209 0.750
O5 0.663 0.791 0.250
O6 0.760 0.240 0.586
O7 0.760 0.240 0.914
O8 0.791 0.663 0.750

---

8.
# Ca2AcBO5 | the Alexandria database | PBE | optimized geometry
# total magnetic moment	0.000	μB/f.u.
# formation energy without anion corrections	-27.006	eV per formula unit
# raw total energy	-133.17	eV per cell
# space-group type	I4/mcm
# volume	12.16	Å³/atom
data_Ca2AcBO5
_chemical_formula_sum 'Ca4 Ac2 B2 O10'
_space_group_name_H-M_alt 'P 1'
_space_group_IT_number 1
_cell_length_a 6.923
_cell_length_b 6.923
_cell_length_c 6.923
_cell_angle_alpha 123.96
_cell_angle_beta 123.96
_cell_angle_gamma 83.27
loop_
_space_group_symop_operation_xyz
'x,y,z'
loop_
_atom_site_label
_atom_site_fract_x
_atom_site_fract_y
_atom_site_fract_z
Ca1 0.175 0.675 0.850
Ca2 0.325 0.175 0.500
Ca3 0.675 0.825 0.500
Ca4 0.825 0.325 0.150
Ac1 0.250 0.250 0.000
Ac2 0.750 0.750 0.000
B1 0.250 0.750 0.500
B2 0.750 0.250 0.500
O1 0.000 0.000 0.000
O2 0.030 0.787 0.500
O3 0.213 0.713 0.242
O4 0.287 0.530 0.500
O5 0.470 0.970 0.758
O6 0.500 0.500 0.000
O7 0.530 0.030 0.242
O8 0.713 0.470 0.500
O9 0.787 0.287 0.758
O10 0.970 0.213 0.500

---

9.
# CaAc2BO5 | the Alexandria database | PBE | optimized geometry
# total magnetic moment	0.767	μB/f.u.
# formation energy without anion corrections	-21.023	eV per formula unit
# raw total energy	-125.42	eV per cell
# space-group type	P4/mbm
# volume	15.01	Å³/atom
data_CaAc2BO5
_chemical_formula_sum 'Ca2 Ac4 B2 O10'
_space_group_name_H-M_alt 'P 1'
_space_group_IT_number 1
_cell_length_a 7.125
_cell_length_b 7.125
_cell_length_c 5.322
_cell_angle_alpha 90.00
_cell_angle_beta 90.00
_cell_angle_gamma 90.00
loop_
_space_group_symop_operation_xyz
'x,y,z'
loop_
_atom_site_label
_atom_site_fract_x
_atom_site_fract_y
_atom_site_fract_z
Ca1 0.000 0.000 0.000
Ca2 0.500 0.500 0.000
Ac1 0.179 0.321 0.500
Ac2 0.321 0.821 0.500
Ac3 0.679 0.179 0.500
Ac4 0.821 0.679 0.500
B1 0.000 0.500 0.000
B2 0.500 0.000 0.000
O1 0.000 0.000 0.500
O2 0.115 0.615 0.215
O3 0.115 0.615 0.785
O4 0.385 0.115 0.215
O5 0.385 0.115 0.785
O6 0.500 0.500 0.500
O7 0.615 0.885 0.215
O8 0.615 0.885 0.785
O9 0.885 0.385 0.215
O10 0.885 0.385 0.785

---

10.
# CaAc3B4O12 | the Alexandria database | PBE | optimized geometry
# total magnetic moment	1.088	μB/f.u.
# formation energy without anion corrections	-57.158	eV per formula unit
# raw total energy	-157.69	eV per cell
# space-group type	R32
# volume	15.30	Å³/atom
data_CaAc3B4O12
_chemical_formula_sum 'Ca1 Ac3 B4 O12'
_space_group_name_H-M_alt 'P 1'
_space_group_IT_number 1
_cell_length_a 6.886
_cell_length_b 6.886
_cell_length_c 6.886
_cell_angle_alpha 100.94
_cell_angle_beta 100.94
_cell_angle_gamma 100.94
loop_
_space_group_symop_operation_xyz
'x,y,z'
loop_
_atom_site_label
_atom_site_fract_x
_atom_site_fract_y
_atom_site_fract_z
Ca1 0.000 0.000 0.000
Ac1 0.000 0.515 0.485
Ac2 0.485 0.000 0.515
Ac3 0.515 0.485 0.000
B1 0.018 0.500 0.982
B2 0.500 0.500 0.500
B3 0.500 0.982 0.018
B4 0.982 0.018 0.500
O1 0.018 0.637 0.858
O2 0.112 0.888 0.500
O3 0.142 0.363 0.982
O4 0.363 0.982 0.142
O5 0.370 0.630 0.500
O6 0.500 0.112 0.888
O7 0.500 0.370 0.630
O8 0.630 0.500 0.370
O9 0.637 0.858 0.018
O10 0.858 0.018 0.637
O11 0.888 0.500 0.112
O12 0.982 0.142 0.363

---

11.
# Ac3CdB4O12 | the Alexandria database | PBE | optimized geometry
# total magnetic moment	1.089	μB/f.u.
# formation energy without anion corrections	-52.420	eV per formula unit
# raw total energy	-151.87	eV per cell
# space-group type	R32
# volume	15.11	Å³/atom
data_Ac3CdB4O12
_chemical_formula_sum 'Ac3 Cd1 B4 O12'
_space_group_name_H-M_alt 'P 1'
_space_group_IT_number 1
_cell_length_a 6.864
_cell_length_b 6.864
_cell_length_c 6.864
_cell_angle_alpha 101.17
_cell_angle_beta 101.17
_cell_angle_gamma 101.17
loop_
_space_group_symop_operation_xyz
'x,y,z'
loop_
_atom_site_label
_atom_site_fract_x
_atom_site_fract_y
_atom_site_fract_z
Ac1 0.000 0.513 0.487
Ac2 0.487 0.000 0.513
Ac3 0.513 0.487 0.000
Cd1 0.000 0.000 0.000
B1 0.015 0.500 0.985
B2 0.500 0.500 0.500
B3 0.500 0.985 0.015
B4 0.985 0.015 0.500
O1 0.020 0.639 0.863
O2 0.115 0.885 0.500
O3 0.137 0.361 0.980
O4 0.361 0.980 0.137
O5 0.370 0.630 0.500
O6 0.500 0.115 0.885
O7 0.500 0.370 0.630
O8 0.630 0.500 0.370
O9 0.639 0.863 0.020
O10 0.863 0.020 0.639
O11 0.885 0.500 0.115
O12 0.980 0.137 0.361

---

12.
# AcCd2B2O6 | the Alexandria database | PBE | optimized geometry
# total magnetic moment	0.000	μB/f.u.
# formation energy without anion corrections	-23.238	eV per formula unit
# raw total energy	-72.28	eV per cell
# space-group type	P-3
# volume	16.46	Å³/atom
data_AcCd2B2O6
_chemical_formula_sum 'Ac1 Cd2 B2 O6'
_space_group_name_H-M_alt 'P 1'
_space_group_IT_number 1
_cell_length_a 5.297
_cell_length_b 5.297
_cell_length_c 7.449
_cell_angle_alpha 90.00
_cell_angle_beta 90.00
_cell_angle_gamma 120.00
loop_
_space_group_symop_operation_xyz
'x,y,z'
loop_
_atom_site_label
_atom_site_fract_x
_atom_site_fract_y
_atom_site_fract_z
Ac1 0.000 0.000 0.000
Cd1 0.333 0.667 0.350
Cd2 0.667 0.333 0.650
B1 0.333 0.667 0.785
B2 0.667 0.333 0.215
O1 0.071 0.667 0.789
O2 0.333 0.404 0.789
O3 0.404 0.071 0.211
O4 0.596 0.929 0.789
O5 0.667 0.596 0.211
O6 0.929 0.333 0.211

---

Number 1: D(E_F) 3.3 states/eV/f.u.. Number 2: D(E_F) 3.7 states/eV/f.u.. Number 3: D(E_F) 3.5 states/eV/f.u.. Number 4: D(E_F) 3.4 states/eV/f.u.. Number 5: D(E_F) 5.1 states/eV/f.u.. Number 6: D(E_F) 3.4 states/eV/f.u.. Number 7: D(E_F) 0.0 states/eV/f.u.. Number 8: D(E_F) 0.0 states/eV/f.u.. Number 9: D(E_F) 2.8 states/eV/f.u.. Number 10: D(E_F) 10.3 states/eV/f.u.. Number 11: D(E_F) 9.1 states/eV/f.u.. Number 12: D(E_F) 2.6 states/eV/f.u..